(1)
A plane-wave DFT calculation with PBE was carried out for crystalline BaSrLi2Cu at its relaxed geometry.

Summary:
Formation energy from the elements (eV/atom): 0.1796
ρ (g cm⁻³): 2.88
Total DFT energy (no corrections) (eV for the cell shown): -10.6

a = 5.4720 Å, b = 5.4720 Å, c = 5.8255 Å
α = 90.00°, β = 90.00°, γ = 90.00°
Space group P4/mmm (No. 123)
Unique sites:
Ba (0.0000, 0.0000, 0.0000)
Sr (0.5000, 0.5000, 0.0000)
Li (0.0000, 0.5000, 0.5000)
Cu (0.0000, 0.0000, 0.5000)

***

(2)
A plane-wave DFT calculation with PBE was carried out for crystalline BaLi2YCu at its relaxed geometry.

Summary:
Formation energy from the elements (eV/atom): 0.1568
ρ (g cm⁻³): 3.45
Total DFT energy (no corrections) (eV for the cell shown): -15.5

a = 5.2678 Å, b = 5.2678 Å, c = 5.2695 Å
α = 90.00°, β = 90.00°, γ = 90.00°
Space group P4/mmm (No. 123)
Unique sites:
Ba (0.0000, 0.0000, 0.0000)
Li (0.0000, 0.5000, 0.5000)
Y (0.5000, 0.5000, 0.0000)
Cu (0.5000, 0.5000, 0.5000)

***

no.,N(E_F) (states/eV per cell)
1,4.5
2,4.4